The following is a DFT calculation (PBE-GGA) of CsNaTc after structural relaxation.

Space-group type = F-43m, No. 216
E above lowest polymorph = 0 meV per atom

```
CsNaTc
1.0
0.000 3.989 3.989
3.989 0.000 3.989
3.989 3.989 0.000
Cs Na Tc
1 1 1
Direct
0.000 0.000 0.000
0.250 0.250 0.250
0.500 0.500 0.500
```

---

The following is a DFT calculation (PBE-GGA) of CsNaThTe3 after structural relaxation.

Total DFT energy (no corrections) = -4.313 eV per atom
Space-group type = Cmcm, No. 63

```
CsNaThTe3
1.0
2.367 -8.292 0.000
2.367 8.292 0.000
0.000 0.000 12.313
Cs Na Th Te
2 2 2 6
Direct
0.237 0.763 0.750
0.763 0.237 0.250
0.054 0.946 0.250
0.946 0.054 0.750
0.500 0.500 0.000
0.500 0.500 0.500
0.126 0.874 0.030
0.126 0.874 0.470
0.447 0.553 0.250
0.553 0.447 0.750
0.874 0.126 0.530
0.874 0.126 0.970
```

---

The following is a DFT calculation (PBE-GGA) of CsNaU after structural relaxation.

Space-group type = F-43m, No. 216
E above lowest polymorph = 0 meV per atom

```
CsNaU
1.0
0.000 4.397 4.397
4.397 0.000 4.397
4.397 4.397 0.000
Cs Na U
1 1 1
Direct
0.000 0.000 0.000
0.500 0.500 0.500
0.250 0.250 0.250
```

---

The following is a DFT calculation (PBE-GGA) of CsNaU after structural relaxation.

Space-group type = F-43m, No. 216
E above lowest polymorph = 74 meV per atom

```
CsNaU
1.0
0.000 4.190 4.190
4.190 0.000 4.190
4.190 4.190 0.000
Cs Na U
1 1 1
Direct
0.000 0.000 0.000
0.750 0.750 0.750
0.250 0.250 0.250
```

---

The following is a DFT calculation (PBE-GGA) of CsNaW after structural relaxation.

Total DFT energy (no corrections) = -2.919 eV per atom
Space-group type = F-43m, No. 216

```
CsNaW
1.0
0.000 4.062 4.062
4.062 0.000 4.062
4.062 4.062 0.000
Cs Na W
1 1 1
Direct
0.000 0.000 0.000
0.250 0.250 0.250
0.500 0.500 0.500
```

---

The following is a DFT calculation (PBE-GGA) of Cs2NdNbS4 after structural relaxation.

Total DFT energy (no corrections) = -5.442 eV per atom
Space-group type = P-3m1, No. 164

```
Cs2NdNbS4
1.0
4.070 0.000 0.000
-2.035 3.525 0.000
0.000 0.000 15.751
Cs Nd Nb S
2 1 1 4
Direct
0.333 0.667 0.238
0.667 0.333 0.762
0.000 0.000 0.500
0.000 0.000 0.000
0.333 0.667 0.601
0.333 0.667 0.923
0.667 0.333 0.077
0.667 0.333 0.399
```

---

The following is a DFT calculation (PBE-GGA) of CsNbNi after structural relaxation.

Total DFT energy (no corrections) = -3.183 eV per atom
Space-group type = F-43m, No. 216

```
CsNbNi
1.0
0.000 3.222 3.222
3.222 0.000 3.222
3.222 3.222 0.000
Cs Nb Ni
1 1 1
Direct
0.000 0.000 0.000
0.750 0.750 0.750
0.250 0.250 0.250
```

---

The following is a DFT calculation (PBE-GGA) of CsNbNiSe3 after structural relaxation.

Total DFT energy (no corrections) = -5.346 eV per atom
Space-group type = P2_1/m, No. 11

```
CsNbNiSe3
1.0
9.127 0.000 0.000
0.000 3.739 0.000
-4.156 0.000 9.019
Cs Nb Ni Se
2 2 2 6
Direct
0.008 0.250 0.276
0.992 0.750 0.724
0.466 0.250 0.177
0.534 0.750 0.823
0.477 0.750 0.389
0.523 0.250 0.611
0.256 0.750 0.150
0.339 0.750 0.554
0.348 0.250 0.874
0.652 0.750 0.126
0.661 0.250 0.446
0.744 0.250 0.850
```

---

The following is a DFT calculation (PBE-GGA) of CsNbNiTe3 after structural relaxation.

Total DFT energy (no corrections) = -4.889 eV per atom
Space-group type = P2_1/m, No. 11

```
CsNbNiTe3
1.0
9.865 0.000 0.000
0.000 3.909 0.000
-4.334 0.000 9.543
Cs Nb Ni Te
2 2 2 6
Direct
0.002 0.250 0.278
0.998 0.750 0.722
0.465 0.250 0.182
0.535 0.750 0.818
0.480 0.750 0.392
0.520 0.250 0.608
0.253 0.750 0.155
0.333 0.750 0.549
0.351 0.250 0.877
0.649 0.750 0.123
0.667 0.250 0.451
0.747 0.250 0.845
```

---

The following is a DFT calculation (PBE-GGA) of Cs2Nb2O5 after structural relaxation.

Total DFT energy (no corrections) = -7.162 eV per atom
Space-group type = P4/mmm, No. 123

```
Cs2Nb2O5
1.0
4.066 0.000 0.000
0.000 4.066 0.000
0.000 0.000 9.150
Cs Nb O
2 2 5
Direct
0.000 0.000 0.000
0.000 0.000 0.500
0.500 0.500 0.220
0.500 0.500 0.780
0.000 0.500 0.244
0.000 0.500 0.756
0.500 0.000 0.244
0.500 0.000 0.756
0.500 0.500 0.000
```

---

The following is a DFT calculation (PBE-GGA) of CsNbO2 after structural relaxation.

Total DFT energy (no corrections) = -6.900 eV per atom
Space-group type = P6_3/mmc, No. 194

```
CsNbO2
1.0
3.167 0.000 0.000
-1.583 2.743 0.000
0.000 0.000 13.923
Cs Nb O
2 2 4
Direct
0.000 0.000 0.000
0.000 0.000 0.500
0.333 0.667 0.250
0.667 0.333 0.750
0.333 0.667 0.660
0.333 0.667 0.840
0.667 0.333 0.160
0.667 0.333 0.340
```

---

The following is a DFT calculation (PBE-GGA) of Cs2Nb2O5 after structural relaxation.

Total DFT energy (no corrections) = -7.280 eV per atom
Space-group type = P1, No. 1

```
Cs2Nb2O5
1.0
5.413 0.000 0.000
2.386 4.861 0.000
2.624 1.667 6.576
Cs Nb O
2 2 5
Direct
0.000 0.000 0.000
0.274 0.262 0.229
0.481 0.471 0.586
0.810 0.792 0.636
0.088 0.568 0.805
0.192 0.685 0.425
0.560 0.062 0.802
0.668 0.742 0.430
0.733 0.202 0.425
```

---

The following is a DFT calculation (PBE-GGA) of CsNbPO after structural relaxation.

Space-group type = Pmc2_1, No. 26
E above lowest polymorph = 47 meV per atom

```
CsNbPO
1.0
3.579 0.000 0.000
0.000 7.830 0.000
0.000 0.000 7.397
Cs Nb P O
2 2 2 2
Direct
0.000 0.197 0.000
0.000 0.803 0.500
0.500 0.316 0.474
0.500 0.684 0.974
0.500 0.488 0.736
0.500 0.512 0.236
0.000 0.199 0.458
0.000 0.801 0.958
```

---

| no. | calculated volume (Å³ per cell) |
| --- | --- |
| 1 | 127 |
| 2 | 483 |
| 3 | 170 |
| 4 | 147 |
| 5 | 134 |
| 6 | 226 |
| 7 | 67 |
| 8 | 308 |
| 9 | 368 |
| 10 | 151 |
| 11 | 121 |
| 12 | 173 |
| 13 | 207 |